Below is a relaxed structure of Cs2CrPtBr6, with properties calculated at the PBE level.

Geometry as extended XYZ:
```
10
Lattice="-3.702 3.702 6.044 3.702 -3.702 6.044 3.702 3.702 -6.044" Properties=species:S:1:pos:R:3 pbc="T T T"
Cs 3.702 0.000 3.022
Cs 0.000 3.702 3.022
Cr 0.000 0.000 0.000
Pt 0.000 0.000 6.044
Br 0.000 0.000 2.491
Br 1.928 1.928 0.000
Br 1.774 -1.774 6.044
Br -1.774 1.774 6.044
Br 1.774 1.774 6.044
Br 0.000 0.000 9.598
```

## Properties
calculated density: 4.973 g cm⁻³
magnetization: 4.000 μB per formula unit
raw total energy: -3.67 eV per atom
energy relative to the elements, uncorrected: -0.9292 eV per atom